1.
Below is a geometry-optimized Mg3ZnHg structure, with properties calculated at the PBE level.

a = 5.2499 Å, b = 5.2499 Å, c = 5.2499 Å
α = 90.00°, β = 90.00°, γ = 90.00°
Last column: nearest neighbours and their distance in Å.
Element x y z (fractional)
Mg 0.0000 0.0000 0.5000  2 Hg 2.62
Mg 0.5000 0.0000 0.0000  2 Hg 2.62
Zn 0.5000 0.5000 0.5000  12 Mg 3.71
Hg 0.0000 0.0000 0.0000  6 Mg 2.62
Mg 0.0000 0.5000 0.0000  2 Hg 2.62

Calculated values
- magnetic moment (Bohr magnetons per cell) = 0.0
- V (A^3/atom) = 28.939
- DFT formation energy (eV per atom) = 0.2304
- energy relative to the lowest polymorph listed for this composition (eV/f.u.) = 1.54

2.
Below is a geometry-optimized Cu3TcN structure, with properties calculated at the PBE level.

a = 4.5842 Å, b = 4.5842 Å, c = 4.5842 Å
α = 90.00°, β = 90.00°, γ = 90.00°
Last column: nearest neighbours and their distance in Å.
Element x y z (fractional)
Cu 0.0000 0.5000 0.0000  2 Tc 2.29
Tc 0.0000 0.0000 0.0000  6 Cu 2.29
N 0.5000 0.5000 0.5000  12 Cu 3.24
Cu 0.5000 0.0000 0.0000  2 Tc 2.29
Cu 0.0000 0.0000 0.5000  2 Tc 2.29

Calculated values
- magnetic moment (Bohr magnetons per cell) = 0.0
- V (A^3/atom) = 19.267
- energy relative to the lowest polymorph listed for this composition (eV/f.u.) = 9.43

3.
Below is a geometry-optimized Tb4RhCl5 structure, with properties calculated at the PBE level.

a = 3.8917 Å, b = 8.3139 Å, c = 9.6727 Å
α = 98.94°, β = 101.61°, γ = 90.00°
Last column: nearest neighbours and their distance in Å.
Element x y z (fractional)
Cl 0.1892 0.8553 0.3783  3 Tb 2.79-3.04
Rh 0.5000 0.0000 0.0000  6 Tb 2.68-2.78
Tb 0.9931 0.7757 0.9862  2 Rh 2.68, 1 Cl 2.93
Cl 0.8108 0.1447 0.6217  3 Tb 2.79-3.04
Tb 0.6485 0.0622 0.2970  5 Cl 2.77-3.04, 1 Rh 2.78
Tb 0.0069 0.2243 0.0138  2 Rh 2.68, 1 Cl 2.93
Cl 0.8370 0.6983 0.6740  3 Tb 2.77-2.93
Cl 0.1630 0.3017 0.3260  3 Tb 2.77-2.93
Cl 0.5000 0.5000 0.0000  4 Tb 3.03
Tb 0.3515 0.9378 0.7030  5 Cl 2.77-3.04, 1 Rh 2.78

Calculated values
- magnetic moment (Bohr magnetons per cell) = 0.0
- calculated total energy (eV per atom) = -5.19
- V (A^3/atom) = 30.268

4.
Below is a geometry-optimized BaMg2Cd4Ag structure, with properties calculated at the PBE level.

a = 4.8630 Å, b = 4.8630 Å, c = 10.6206 Å
α = 76.77°, β = 76.77°, γ = 60.00°
Last column: nearest neighbours and their distance in Å.
Element x y z (fractional)
Cd 0.1339 0.1339 0.5984  3 Ag 2.98, 4 Mg 3.02-3.12
Mg 0.7645 0.7645 0.7066  7 Cd 2.92-3.12
Cd 0.4050 0.4050 0.7849  1 Ag 2.92, 3 Mg 2.92
Ba 0.0000 0.0000 0.0000  6 Cd 3.57
Mg 0.2355 0.2355 0.2934  7 Cd 2.92-3.12
Cd 0.8661 0.8661 0.4016  3 Ag 2.98, 4 Mg 3.02-3.12
Cd 0.5950 0.5950 0.2151  1 Ag 2.92, 3 Mg 2.92
Ag 0.5000 0.5000 0.5000  8 Cd 2.92-2.98

Calculated values
- magnetic moment (Bohr magnetons per cell) = 0.0
- V (A^3/atom) = 26.222
- DFT formation energy (eV per atom) = -0.1484

5.
Below is a geometry-optimized LaZnIr structure, with properties calculated at the PBE level.

a = 4.3844 Å, b = 4.3844 Å, c = 4.0042 Å
α = 90.00°, β = 90.00°, γ = 120.00°
Last column: nearest neighbours and their distance in Å.
Element x y z (fractional)
Zn 0.3333 0.6667 0.8333  3 Ir 2.53
Ir 0.0000 0.0000 0.8331  3 Zn 2.53
La 0.6667 0.3333 0.3333  6 Ir 3.23, 6 Zn 3.23

Calculated values
- magnetic moment (Bohr magnetons per cell) = 0.0
- V (A^3/atom) = 22.220
- DFT formation energy (eV per atom) = -0.5548

6.
Below is a geometry-optimized TaInTeO6 structure, with properties calculated at the PBE level.

a = 5.4657 Å, b = 5.4657 Å, c = 9.1956 Å
α = 90.00°, β = 90.00°, γ = 120.00°
Last column: nearest neighbours and their distance in Å.
Element x y z (fractional)
O 0.9756 0.6441 0.8680  1 Ta 2.01, 1 Te 2.18, 1 In 2.24
In 0.0000 0.0000 0.5000  6 O 2.24
O 0.3560 0.0244 0.6320  1 Ta 2.01, 1 Te 2.18, 1 In 2.24
Ta 0.3333 0.6667 0.2500  6 O 2.01
O 0.6684 0.6441 0.6320  1 Ta 2.01, 1 Te 2.18, 1 In 2.24
In 0.0000 0.0000 0.0000  6 O 2.24
O 0.6440 0.6684 0.1320  1 Ta 2.01, 1 Te 2.18, 1 In 2.24
O 0.6684 0.0244 0.8680  1 Ta 2.01, 1 Te 2.18, 1 In 2.24
Te 0.6667 0.3333 0.2500  6 O 2.18
Te 0.3333 0.6667 0.7500  6 O 2.18
Ta 0.6667 0.3333 0.7500  6 O 2.01
O 0.3316 0.9756 0.1320  1 Ta 2.01, 1 Te 2.18, 1 In 2.24
O 0.6440 0.9756 0.3680  1 Ta 2.01, 1 Te 2.18, 1 In 2.24
O 0.0244 0.6684 0.3680  1 Ta 2.01, 1 Te 2.18, 1 In 2.24
O 0.0244 0.3559 0.1320  1 Ta 2.01, 1 Te 2.18, 1 In 2.24
O 0.3560 0.3316 0.8680  1 Ta 2.01, 1 Te 2.18, 1 In 2.24
O 0.3316 0.3559 0.3680  1 Ta 2.01, 1 Te 2.18, 1 In 2.24
O 0.9756 0.3316 0.6320  1 Ta 2.01, 1 Te 2.18, 1 In 2.24

Calculated values
- magnetic moment (Bohr magnetons per cell) = 0.0
- calculated total energy (eV per atom) = -7.04
- V (A^3/atom) = 13.217

7.
Below is a geometry-optimized Tb2Sm2Dy3 structure, with properties calculated at the PBE level.

a = 3.5018 Å, b = 8.7257 Å, c = 8.5218 Å
α = 115.49°, β = 101.86°, γ = 90.00°
Last column: nearest neighbours and their distance in Å.
Element x y z (fractional)
Dy 0.7787 0.3524 0.5574  5 Dy 3.33-3.58, 3 Sm 3.47-3.56, 3 Tb 3.55-3.59
Tb 0.3622 0.0925 0.7243  4 Tb 3.50-3.79, 5 Dy 3.55-3.72, 4 Sm 3.58-3.75
Sm 0.9208 0.7984 0.8417  3 Sm 3.34-3.50, 4 Dy 3.40-3.56, 2 Tb 3.58
Dy 0.2213 0.6476 0.4426  5 Dy 3.33-3.58, 3 Sm 3.47-3.56, 3 Tb 3.55-3.59
Sm 0.0792 0.2016 0.1583  3 Sm 3.34-3.50, 4 Dy 3.40-3.56, 2 Tb 3.58
Dy 0.0000 0.5000 0.0000  4 Dy 3.33-3.50, 2 Sm 3.40, 4 Tb 3.72
Tb 0.6378 0.9075 0.2757  4 Tb 3.50-3.79, 5 Dy 3.55-3.72, 4 Sm 3.58-3.75

Calculated values
- magnetic moment (Bohr magnetons per cell) = 0.0
- V (A^3/atom) = 32.697
- DFT formation energy (eV per atom) = 0.1283
- energy relative to the lowest polymorph listed for this composition (eV/f.u.) = 0.79

8.
Below is a geometry-optimized NaPmPbAu structure, with properties calculated at the PBE level.

a = 5.2608 Å, b = 5.2608 Å, c = 5.2608 Å
α = 60.00°, β = 60.00°, γ = 60.00°
Last column: nearest neighbours and their distance in Å.
Element x y z (fractional)
Na 0.2500 0.2500 0.2500  4 Pb 3.22, 4 Au 3.22
Pb 0.5000 0.5000 0.5000  4 Pm 3.22, 4 Na 3.22
Au 0.0000 0.0000 0.0000  4 Na 3.22, 4 Pm 3.22
Pm 0.7500 0.7500 0.7500  4 Au 3.22, 4 Pb 3.22

Calculated values
- magnetic moment (Bohr magnetons per cell) = 0.0
- V (A^3/atom) = 25.739
- DFT formation energy (eV per atom) = -0.4433